Compound: KLi2GePd
Source: Alexandria via LeMat-Bulk
Functional: PBE-GGA
Structure: optimized geometry

- DOS(E_F) (states/eV per cell) = 1.16
- total magnetization (μB per cell) = 0.0

extended XYZ file:
```
5
Lattice="-1.2788 -0.5937 4.8639 -1.5896 -4.7047 -0.9922 4.3359 -1.6626 0.9370" Properties=species:S:1:pos:R:3 pbc="T T T"
Ge 2.1680 -0.8313 0.4685
Li -0.7948 -2.3524 -0.4961
Li -0.6394 -0.2968 2.4320
Pd 0.0000 0.0000 0.0000
K 0.7338 -3.4805 2.4044
```

Compound: K2LiGePd
Source: Alexandria via LeMat-Bulk
Functional: PBE-GGA
Structure: optimized geometry

- DOS(E_F) (states/eV per cell) = 3.66
- total magnetization (μB per cell) = 0.8

extended XYZ file:
```
5
Lattice="-3.3640 0.2951 5.2678 -2.4474 -4.0292 -1.3372 4.2509 -3.5490 2.9134" Properties=species:S:1:pos:R:3 pbc="T T T"
K -1.6820 0.1476 2.6339
K 2.1254 -1.7745 1.4567
Pd -0.7802 -3.6415 3.4220
Li -1.2237 -2.0146 -0.6686
Ge 0.0000 0.0000 0.0000
```

no.,energy of formation (eV/atom),calculated total energy (eV/atom)
1,-0.244,-3.191
2,0.508,-2.276